Entry 1:
Density functional theory data (GGA-PBE) for a geometry-optimized Te2PW structure.

Cell and atoms, written as POSCAR:
```
Te2PW
1.0
3.301 0.000 0.000
0.000 3.301 0.000
0.000 0.000 7.990
Te P W
2 1 1
Direct
0.000 0.000 0.000
0.500 0.500 0.408
0.500 0.500 0.772
0.000 0.000 0.638
```

## Properties
- total energy (eV/atom) = -5.950


Entry 2:
Density functional theory data (GGA-PBE) for a geometry-optimized Te2PW structure.

Cell and atoms, written as POSCAR:
```
Te2PW
1.0
2.872 0.000 0.000
0.000 4.442 0.000
-0.131 0.000 6.881
Te P W
2 1 1
Direct
0.217 0.000 0.263
0.783 0.000 0.737
0.000 0.500 0.000
0.000 0.500 0.500
```

## Properties
- total energy (eV/atom) = -5.277


Entry 3:
Density functional theory data (GGA-PBE) for a geometry-optimized Te2PW structure.

Cell and atoms, written as POSCAR:
```
Te2PW
1.0
3.301 0.000 0.000
0.000 3.670 0.000
0.000 0.000 16.500
Te P W
4 2 2
Direct
0.000 0.000 0.145
0.000 0.000 0.855
0.500 0.500 0.355
0.500 0.500 0.645
0.000 0.500 0.000
0.500 0.000 0.500
0.000 0.500 0.500
0.500 0.000 0.000
```

## Properties
- total energy (eV/atom) = -5.866


Entry 4:
Density functional theory data (GGA-PBE) for a geometry-optimized Te2PW structure.

Cell and atoms, written as POSCAR:
```
Te2PW
1.0
3.335 0.000 0.000
0.000 4.627 0.000
0.000 0.000 5.255
Te P W
2 1 1
Direct
0.000 0.000 0.000
0.500 0.000 0.500
0.000 0.500 0.500
0.500 0.500 0.000
```

## Properties
- total energy (eV/atom) = -5.131


Entry 5:
Density functional theory data (GGA-PBE) for a geometry-optimized Te2PW structure.

Cell and atoms, written as POSCAR:
```
Te2PW
1.0
3.489 0.000 0.000
0.000 5.077 0.000
0.000 0.000 10.520
Te P W
4 2 2
Direct
0.000 0.000 0.000
0.000 0.500 0.318
0.500 0.000 0.318
0.500 0.500 0.000
0.000 0.500 0.692
0.500 0.000 0.692
0.000 0.000 0.539
0.500 0.500 0.539
```

## Properties
- total energy (eV/atom) = -5.741


Entry 6:
Density functional theory data (GGA-PBE) for a geometry-optimized Te2PW structure.

Cell and atoms, written as POSCAR:
```
Te2PW
1.0
5.588 0.000 0.000
0.000 5.588 0.000
0.000 0.000 5.820
Te P W
4 2 2
Direct
0.000 0.500 0.000
0.000 0.500 0.500
0.500 0.000 0.000
0.500 0.000 0.500
0.000 0.000 0.000
0.500 0.500 0.500
0.000 0.000 0.500
0.500 0.500 0.000
```

## Properties
- total energy (eV/atom) = -5.292


Number 1: mass density 8.963 Mg/m³. Number 2: mass density 8.890 Mg/m³. Number 3: mass density 7.811 Mg/m³. Number 4: mass density 9.625 Mg/m³. Number 5: mass density 8.378 Mg/m³. Number 6: mass density 8.589 Mg/m³.